This record from Alexandria describes GaPWO2 after structural relaxation. The functional is GGA+U.

total energy: -30.10 eV per cell
theoretical density: 6.60 g/cm³
spin magnetization: 1.1 μB/f.u.

a = 3.885 Å, b = 3.885 Å, c = 5.275 Å
α = 90.00°, β = 90.00°, γ = 90.00°
Fractional positions:
Ga  0.500  0.500  0.500
O  0.500  0.000  0.000
W  0.000  0.000  0.000
O  0.000  0.500  0.000
P  0.000  0.000  0.500